Entry 1:
VASP calculation (PBE-GGA) on Dy4BiPbC after structural relaxation.

Output
Fermi-level density of states: 0.494 states/eV/atom
V: 189 Å³/f.u.

Unit cell a=6.8638 b=16.0113 c=6.8614 alpha=90.00 beta=90.00 gamma=90.00
With the nearest neighbours (Å) after each atom.
Space group Cmcm (No. 63)
Asymmetric unit:
Dy 0.0000 0.0944 0.2500  1 C 2.49
Dy 0.0000 0.4033 0.2500  1 C 2.46
Dy 0.2500 0.2500 0.0000  2 C 2.43
Bi 0.0000 0.3944 0.7500  9 Dy 3.24-3.44
Pb 0.0000 0.1062 0.7500  9 Dy 3.21-3.44
C 0.0000 0.2496 0.2500  6 Dy 2.43-2.49

=====

Entry 2:
VASP calculation (PBE-GGA) on Pm2Dy2Bi2C after structural relaxation.

Output
Fermi-level density of states: 0.973 states/eV/atom
V: 195 Å³/f.u.

Unit cell a=4.8647 b=4.8647 c=16.4453 alpha=90.00 beta=90.00 gamma=90.00
With the nearest neighbours (Å) after each atom.
Space group I4/mmm (No. 139)
Asymmetric unit:
Pm 0.0000 0.0000 0.1569  1 C 2.58
Dy 0.0000 0.5000 0.0000  2 C 2.43
Bi 0.0000 0.0000 0.3596  5 Pm 3.33-3.45, 4 Dy 3.35
C 0.0000 0.0000 0.0000  4 Dy 2.43, 2 Pm 2.58

=====

Entry 3:
VASP calculation (PBE-GGA) on Sm2DyBiC after structural relaxation.

Output
Fermi-level density of states: 0.625 states/eV/atom
V: 126 Å³/f.u.

Unit cell a=5.0663 b=5.0663 c=4.9076 alpha=90.00 beta=90.00 gamma=90.00
With the nearest neighbours (Å) after each atom.
Space group P4/mmm (No. 123)
Asymmetric unit:
Sm 0.0000 0.5000 0.0000  2 C 2.53
Dy 0.0000 0.0000 0.5000  2 C 2.45
Bi 0.5000 0.5000 0.5000  8 Sm 3.53, 4 Dy 3.58
C 0.0000 0.0000 0.0000  2 Dy 2.45, 4 Sm 2.53

=====

Entry 4:
VASP calculation (PBE-GGA) on Sm2Dy2Bi2C after structural relaxation.

Output
Fermi-level density of states: 0.933 states/eV/atom
V: 194 Å³/f.u.

Unit cell a=4.8645 b=4.8645 c=16.3566 alpha=90.00 beta=90.00 gamma=90.00
With the nearest neighbours (Å) after each atom.
Space group I4/mmm (No. 139)
Asymmetric unit:
Sm 0.0000 0.0000 0.1559  1 C 2.55
Dy 0.0000 0.5000 0.0000  2 C 2.43
Bi 0.0000 0.0000 0.3587  5 Sm 3.32-3.45, 4 Dy 3.35
C 0.0000 0.0000 0.0000  4 Dy 2.43, 2 Sm 2.55

=====

Entry 5:
VASP calculation (PBE-GGA) on Dy4SnBiC after structural relaxation.

Output
Fermi-level density of states: 0.505 states/eV/atom
V: 186 Å³/f.u.

Unit cell a=6.8366 b=15.9305 c=6.8351 alpha=90.00 beta=90.00 gamma=90.00
With the nearest neighbours (Å) after each atom.
Space group Cmcm (No. 63)
Asymmetric unit:
Dy 0.0000 0.0921 0.2500  1 C 2.50
Dy 0.0000 0.4036 0.2500  1 C 2.46
Dy 0.2500 0.2500 0.0000  2 C 2.42
Sn 0.0000 0.1088 0.7500  9 Dy 3.20-3.43
Bi 0.0000 0.3948 0.7500  9 Dy 3.21-3.42
C 0.0000 0.2492 0.2500  6 Dy 2.42-2.50

=====

Entry 6:
VASP calculation (PBE-GGA) on Tb2Dy2Bi2C after structural relaxation.

Output
Fermi-level density of states: 0.787 states/eV/atom
V: 190 Å³/f.u.

Unit cell a=4.8598 b=4.8598 c=16.0797 alpha=90.00 beta=90.00 gamma=90.00
With the nearest neighbours (Å) after each atom.
Space group I4/mmm (No. 139)
Asymmetric unit:
Tb 0.0000 0.0000 0.1532  1 C 2.46
Dy 0.0000 0.5000 0.0000  2 C 2.43
Bi 0.0000 0.0000 0.3561  5 Tb 3.26-3.44, 4 Dy 3.36
C 0.0000 0.0000 0.0000  4 Dy 2.43, 2 Tb 2.46

=====

Entry 7:
VASP calculation (PBE-GGA) on DyThBiC after structural relaxation.

Output
Fermi-level density of states: 0.217 states/eV/atom
V: 105 Å³/f.u.

Unit cell a=4.7089 b=4.7089 c=9.4336 alpha=90.00 beta=90.00 gamma=90.00
With the nearest neighbours (Å) after each atom.
Space group P4/nmm (No. 129, origin choice 2)
Asymmetric unit:
Dy 0.2500 0.7500 0.0000  4 C 2.48
Th 0.2500 0.2500 0.3202  1 C 2.23
Bi 0.2500 0.2500 0.6943  5 Th 3.33-3.53, 1 C 3.67, 4 Dy 3.72
C 0.2500 0.2500 0.0836  1 Th 2.23, 4 Dy 2.48

=====

Entry 8:
VASP calculation (PBE-GGA) on Dy2Tm2Bi2C after structural relaxation.

Output
Fermi-level density of states: 0.846 states/eV/atom
V: 183 Å³/f.u.

Unit cell a=4.7872 b=4.7872 c=15.9960 alpha=90.00 beta=90.00 gamma=90.00
With the nearest neighbours (Å) after each atom.
Space group I4/mmm (No. 139)
Asymmetric unit:
Dy 0.0000 0.0000 0.1534  1 C 2.45
Tm 0.0000 0.5000 0.0000  2 C 2.39
Bi 0.0000 0.0000 0.3566  5 Dy 3.25-3.39, 4 Tm 3.32
C 0.0000 0.0000 0.0000  4 Tm 2.39, 2 Dy 2.45

=====

Entry 9:
VASP calculation (PBE-GGA) on DyTm3Bi2C after structural relaxation.

Output
Fermi-level density of states: 0.755 states/eV/atom
V: 184 Å³/f.u.

Unit cell a=4.7821 b=4.8566 c=15.8083 alpha=90.00 beta=90.00 gamma=90.00
With the nearest neighbours (Å) after each atom.
Space group Immm (No. 71)
Asymmetric unit:
Dy 0.0000 0.0000 0.0000  2 C 2.43
Tm 0.0000 0.0000 0.5000  2 C 2.39
Tm 0.0000 0.5000 0.1513  1 C 2.39
Bi 0.0000 0.5000 0.3540  7 Tm 3.20-3.41, 2 Dy 3.32
C 0.0000 0.5000 0.0000  4 Tm 2.39, 2 Dy 2.43

=====

Entry 10:
VASP calculation (PBE-GGA) on Dy2Y2Bi2C after structural relaxation.

Output
Fermi-level density of states: 0.793 states/eV/atom
V: 189 Å³/f.u.

Unit cell a=4.8605 b=4.8605 c=16.0264 alpha=90.00 beta=90.00 gamma=90.00
With the nearest neighbours (Å) after each atom.
Space group I4/mmm (No. 139)
Asymmetric unit:
Dy 0.0000 0.0000 0.1527  1 C 2.45
Y 0.0000 0.5000 0.0000  2 C 2.43
Bi 0.0000 0.0000 0.3551  5 Dy 3.24-3.44, 4 Y 3.36
C 0.0000 0.0000 0.0000  4 Y 2.43, 2 Dy 2.45

=====

Entry 11:
VASP calculation (PBE-GGA) on Er3BiC after structural relaxation.

Output
Fermi-level density of states: 0.739 states/eV/atom
V: 135 Å³/f.u.
polymorph energy (0 for the lowest one): 199.6 meV/atom

Unit cell a=16.1111 b=4.1492 c=8.3547 alpha=90.00 beta=104.23 gamma=90.00
With the nearest neighbours (Å) after each atom.
Space group C2/m (No. 12)
Asymmetric unit:
Er 0.0437 0.0000 0.3493  2 C 2.33-2.39
Er 0.1614 0.0000 0.9396  1 C 2.44
Er 0.1749 0.5000 0.6342  2 C 2.41
Bi 0.1613 0.5000 0.2275  8 Er 3.14-3.47
C 0.0999 0.0000 0.6416  5 Er 2.33-2.44

=====

Entry 12:
VASP calculation (PBE-GGA) on Er5Bi4C after structural relaxation.

Output
Fermi-level density of states: 0.330 states/eV/atom
V: 280 Å³/f.u.

Unit cell a=9.5022 b=9.5022 c=6.2078 alpha=90.00 beta=90.00 gamma=90.00
With the nearest neighbours (Å) after each atom.
Space group I4 (No. 79)
Asymmetric unit:
Er 0.0000 0.0000 0.0000  1 C 2.37
Er 0.0945 0.2435 0.4304  1 C 2.50
Bi 0.0806 0.3135 0.9267  6 Er 3.11-3.32
C 0.0000 0.0000 0.3823  5 Er 2.37-2.50

=====

Calculated formation energy / eV per atom: -0.60 -0.69 -0.50 -0.68 -0.66 -0.65 -0.52 -0.66 -0.61 -0.65 -0.34 -0.60
Theoretical density / Mg/m³: 9.50 8.92 9.02 9.06 8.83 9.38 9.77 9.90 9.94 8.18 8.87 9.98